{
  "formula": "Ca21Zn4Sb18",
  "functional": "GGA-PBE",
  "state": "relaxed",
  "magmom_total_mub_per_fu": 0.00,
  "formation_energy_uncorrected_ev_per_atom": -0.9348,
  "vol_a3_per_atom": 29.0,
  "cell": [[8.342, 8.728, 0.000], [-8.342, 8.728, 0.000], [0.000, 0.557, 17.124]],
  "species": ["Ca", "Ca", "Ca", "Ca", "Ca", "Ca", "Ca", "Ca", "Ca", "Ca", "Ca", "Ca", "Ca", "Ca", "Ca", "Ca", "Ca", "Ca", "Ca", "Ca", "Ca", "Ca", "Ca", "Ca", "Ca", "Ca", "Ca", "Ca", "Ca", "Ca", "Ca", "Ca", "Ca", "Ca", "Ca", "Ca", "Ca", "Ca", "Ca", "Ca", "Ca", "Ca", "Zn", "Zn", "Zn", "Zn", "Zn", "Zn", "Zn", "Zn", "Sb", "Sb", "Sb", "Sb", "Sb", "Sb", "Sb", "Sb", "Sb", "Sb", "Sb", "Sb", "Sb", "Sb", "Sb", "Sb", "Sb", "Sb", "Sb", "Sb", "Sb", "Sb", "Sb", "Sb", "Sb", "Sb", "Sb", "Sb", "Sb", "Sb", "Sb", "Sb", "Sb", "Sb", "Sb", "Sb"],
  "frac_coords": [[0.072, 0.759, 0.351], [0.759, 0.072, 0.351], [0.928, 0.241, 0.649], [0.241, 0.928, 0.649], [0.076, 0.751, 0.146], [0.751, 0.076, 0.146], [0.924, 0.249, 0.854], [0.249, 0.924, 0.854], [0.008, 0.769, 0.577], [0.769, 0.008, 0.577], [0.992, 0.231, 0.423], [0.231, 0.992, 0.423], [0.256, 0.510, 0.057], [0.510, 0.256, 0.057], [0.744, 0.490, 0.943], [0.490, 0.744, 0.943], [0.180, 0.505, 0.435], [0.505, 0.180, 0.435], [0.820, 0.495, 0.565], [0.495, 0.820, 0.565], [0.075, 0.418, 0.243], [0.418, 0.075, 0.243], [0.925, 0.582, 0.757], [0.582, 0.925, 0.757], [0.004, 0.270, 0.059], [0.270, 0.004, 0.059], [0.996, 0.730, 0.941], [0.730, 0.996, 0.941], [0.743, 0.403, 0.157], [0.403, 0.743, 0.157], [0.257, 0.597, 0.843], [0.597, 0.257, 0.843], [0.677, 0.430, 0.382], [0.430, 0.677, 0.382], [0.323, 0.570, 0.618], [0.570, 0.323, 0.618], [0.746, 0.746, 0.419], [0.254, 0.254, 0.581], [0.735, 0.735, 0.094], [0.265, 0.265, 0.906], [0.409, 0.409, 0.254], [0.591, 0.591, 0.746], [0.857, 0.614, 0.247], [0.614, 0.857, 0.247], [0.143, 0.386, 0.753], [0.386, 0.143, 0.753], [0.000, 0.000, 0.798], [0.000, 0.000, 0.202], [0.846, 0.846, 0.757], [0.154, 0.154, 0.243], [0.949, 0.949, 0.435], [0.051, 0.051, 0.565], [0.938, 0.938, 0.057], [0.062, 0.062, 0.943], [0.575, 0.575, 0.536], [0.425, 0.425, 0.464], [0.537, 0.537, 0.077], [0.463, 0.463, 0.923], [0.239, 0.603, 0.256], [0.603, 0.239, 0.256], [0.761, 0.397, 0.744], [0.397, 0.761, 0.744], [0.942, 0.545, 0.097], [0.545, 0.942, 0.097], [0.058, 0.455, 0.903], [0.455, 0.058, 0.903], [0.927, 0.534, 0.389], [0.534, 0.927, 0.389], [0.073, 0.466, 0.611], [0.466, 0.073, 0.611], [0.928, 0.211, 0.241], [0.211, 0.928, 0.241], [0.072, 0.789, 0.759], [0.789, 0.072, 0.759], [0.847, 0.847, 0.253], [0.153, 0.153, 0.747], [0.752, 0.752, 0.628], [0.248, 0.248, 0.372], [0.622, 0.622, 0.259], [0.378, 0.378, 0.741], [0.261, 0.261, 0.117], [0.739, 0.739, 0.883], [0.245, 0.755, 0.500], [0.755, 0.245, 0.500], [0.244, 0.756, 0.000], [0.756, 0.244, 0.000]]
}